i:
Computed, not measured: an optimized crystal structure of HfAs2WBr at the PBE level of DFT.

The space group is P4/mmm (No. 123) and the conventional cell measures 4.866, 4.866 and 5.092 Å, with angles of 90.00, 90.00 and 90.00 degrees. Symmetry generates all atoms from Hf at (0.000, 0.000, 0.000), As at (0.000, 0.500, 0.500), W at (0.500, 0.500, 0.500) and Br at (0.500, 0.500, 0.000).

As for the magnetic moment: 1.5 μB per formula unit.



ii:
Computed, not measured: an optimized crystal structure of HfAs2WBr at the PBE level of DFT.

The space group is P4/mmm (No. 123) and the conventional cell measures 5.199, 5.199 and 5.022 Å, with angles of 90.00, 90.00 and 90.00 degrees. Symmetry generates all atoms from Hf at (0.000, 0.000, 0.000), As at (0.000, 0.500, 0.000), W at (0.500, 0.500, 0.500) and Br at (0.000, 0.000, 0.500).

As for the magnetic moment: 3.7 μB per formula unit.



Name the least stable of them. ii.